Record 1
VASP calculation (PBE-GGA) on ScB2Pd after structural relaxation.

Total energy in eV/cell: -90.5
Size of the total moment in μB per formula unit: 0.00
Volume in Å³/atom: 12.306

abc: 5.818 5.818 5.818
angles: 90.00 90.00 90.00
Space group F-43m (No. 216)
Unique sites:
1 Sc 0.000 0.000 0.000 (multiplicity 4)
2 B 0.000 0.000 0.500 (multiplicity 4)
3 B 0.250 0.250 0.750 (multiplicity 4)
4 Pd 0.250 0.250 0.250 (multiplicity 4)

---

Record 2
VASP calculation (PBE-GGA) on Sc6BPd2 after structural relaxation.

Total energy in eV/cell: -231.5
Size of the total moment in μB per formula unit: 0.00
Volume in Å³/atom: 20.058

abc: 8.971 8.971 8.971
angles: 90.00 90.00 90.00
Space group Fm-3m (No. 225)
Unique sites:
1 Sc 0.000 0.000 0.250 (multiplicity 24)
2 B 0.000 0.000 0.000 (multiplicity 4)
3 Pd 0.250 0.250 0.250 (multiplicity 8)

---

Record 3
VASP calculation (PBE-GGA) on ScB4Pd after structural relaxation.

Size of the total moment in μB per formula unit: 0.00
Volume in Å³/atom: 9.467
Energy relative to the lowest polymorph listed for this composition in eV/atom: 0.039

abc: 3.1352 3.1352 6.6728
angles: 90.00 90.00 120.00
Space group P6/mmm (No. 191)
Unique sites:
1 Sc 0.0000 0.0000 0.0000 (multiplicity 1)
2 B 0.3333 0.6667 0.2510 (multiplicity 4)
3 Pd 0.0000 0.0000 0.5000 (multiplicity 1)

---

Q: Look up the size of the total moment of the first one.
A: 0.00 μB per formula unit